Record 1
LiThSnAu | PBE-GGA | relaxed

Calculated values
For the spin magnetization, the calculation gives 0.000 μB/atom. The value obtained for the volume is 24.14 A^3/atom. For the formation energy, the calculation gives -2.029 eV per formula unit. As for the electronic total energy: -4.6608 eV per atom. The symmetry is F-43m.

a = 5.150 Å, b = 5.150 Å, c = 5.150 Å
α = 60.00°, β = 60.00°, γ = 60.00°
Fractional coordinates of all 4 atoms:
Li 0.000 0.000 0.000
Th 0.500 0.500 0.500
Sn 0.750 0.750 0.750
Au 0.250 0.250 0.250

---

Record 2
SrSmHgBi | PBE-GGA | relaxed

Calculated values
For the spin magnetization, the calculation gives 0.000 μB/atom. The value obtained for the volume is 31.09 A^3/atom. For the formation energy, the calculation gives -2.193 eV per formula unit. As for the electronic total energy: -3.1942 eV per atom. The symmetry is F-43m.

a = 5.603 Å, b = 5.603 Å, c = 5.603 Å
α = 60.00°, β = 60.00°, γ = 60.00°
Fractional coordinates of all 4 atoms:
Sr 0.000 0.000 0.000
Sm 0.500 0.500 0.500
Hg 0.750 0.750 0.750
Bi 0.250 0.250 0.250

---

Record 3
ScIrRu2 | PBE-GGA | relaxed

Calculated values
For the spin magnetization, the calculation gives 0.000 μB/atom. The value obtained for the volume is 15.54 A^3/atom. For the formation energy, the calculation gives -0.307 eV per formula unit. As for the electronic total energy: -8.5127 eV per atom. The symmetry is P4/mmm.

a = 2.822 Å, b = 2.822 Å, c = 7.805 Å
α = 90.00°, β = 90.00°, γ = 90.00°
Fractional coordinates of all 4 atoms:
Sc 0.000 0.000 0.000
Ir 0.000 0.000 0.500
Ru 0.500 0.500 0.269
Ru 0.500 0.500 0.731

---

Record 4
Ag8PdAu2 | PBE-GGA | relaxed

Calculated values
For the spin magnetization, the calculation gives 0.000 μB/atom. The value obtained for the volume is 20.04 A^3/atom. For the formation energy, the calculation gives 1.499 eV per formula unit. As for the electronic total energy: -3.0053 eV per atom. The symmetry is C2/m.

a = 7.228 Å, b = 7.228 Å, c = 4.887 Å
α = 101.04°, β = 101.04°, γ = 62.39°
Fractional coordinates of all 11 atoms:
Ag 0.118 0.748 0.710
Ag 0.147 0.147 0.834
Ag 0.252 0.882 0.290
Ag 0.271 0.271 0.400
Ag 0.729 0.729 0.600
Ag 0.748 0.118 0.710
Ag 0.853 0.853 0.166
Ag 0.882 0.252 0.290
Pd 0.500 0.500 0.500
Au 0.382 0.382 0.960
Au 0.618 0.618 0.040

---

Record 5
Ta2SiHg | PBE-GGA | relaxed

Calculated values
For the spin magnetization, the calculation gives 0.000 μB/atom. The uncorrected formation energy is 0.27 eV per atom. The value obtained for the volume is 17.68 A^3/atom. As for the electronic total energy: -7.0855 eV per atom. The symmetry is I-4m2.

a = 5.253 Å, b = 5.253 Å, c = 5.253 Å
α = 135.30°, β = 135.30°, γ = 65.07°
Fractional coordinates of all 4 atoms:
Ta 0.000 0.000 0.000
Ta 0.750 0.250 0.500
Si 0.500 0.500 0.000
Hg 0.250 0.750 0.500

---

Record 6
LaTb2Y5Sc | PBE-GGA | relaxed

Calculated values
For the spin magnetization, the calculation gives 0.000 μB/atom. The value obtained for the volume is 32.40 A^3/atom. For the formation energy, the calculation gives 1.499 eV per formula unit. As for the electronic total energy: -5.7046 eV per atom. The symmetry is Cmc2_1.

a = 10.731 Å, b = 10.731 Å, c = 10.057 Å
α = 90.00°, β = 90.00°, γ = 149.77°
Fractional coordinates of all 18 atoms:
La 0.107 0.893 0.500
La 0.893 0.107 0.000
Tb 0.376 0.624 0.797
Tb 0.396 0.604 0.391
Tb 0.604 0.396 0.891
Tb 0.624 0.376 0.297
Y 0.019 0.981 0.811
Y 0.129 0.871 0.100
Y 0.195 0.805 0.789
Y 0.251 0.749 0.450
Y 0.480 0.520 0.088
Y 0.520 0.480 0.588
Y 0.749 0.251 0.950
Y 0.805 0.195 0.289
Y 0.871 0.129 0.600
Y 0.981 0.019 0.311
Sc 0.309 0.691 0.106
Sc 0.691 0.309 0.606

---

Record 7
NaSmGdMg | PBE-GGA | relaxed

Calculated values
For the spin magnetization, the calculation gives 2.020 μB/atom. The value obtained for the volume is 30.25 A^3/atom. For the formation energy, the calculation gives 0.588 eV per formula unit. As for the electronic total energy: -5.2813 eV per atom. The symmetry is F-43m.

a = 5.552 Å, b = 5.552 Å, c = 5.552 Å
α = 60.00°, β = 60.00°, γ = 60.00°
Fractional coordinates of all 4 atoms:
Na 0.000 0.000 0.000
Sm 0.250 0.250 0.250
Gd 0.750 0.750 0.750
Mg 0.500 0.500 0.500

---

Record 8
RbSrFe2Bi | PBE-GGA | relaxed

Calculated values
For the spin magnetization, the calculation gives 1.507 μB/atom. The value obtained for the volume is 42.60 A^3/atom. For the formation energy, the calculation gives 6.603 eV per formula unit. As for the electronic total energy: -3.3705 eV per atom. The symmetry is P4/mmm.

a = 5.810 Å, b = 5.810 Å, c = 6.311 Å
α = 90.00°, β = 90.00°, γ = 90.00°
Fractional coordinates of all 5 atoms:
Rb 0.000 0.000 0.000
Sr 0.500 0.500 0.500
Fe 0.000 0.500 0.500
Fe 0.500 0.000 0.500
Bi 0.500 0.500 0.000